An optimized crystal structure of LiTiMoO4, computed with GGA+U.

DFT total energy, eV per atom: -7.5922

abc: 5.357 5.357 6.482
angles: 90.00 90.00 113.58
Site moments in Bohr magnetons follow the coordinates.
Atoms (fractional coordinates):
O  0.261  0.739  0.478  0.00
Ti  0.149  0.851  0.250  0.11
Ti  0.851  0.149  0.750  0.11
Li  0.837  0.163  0.250  0.00
O  0.739  0.261  0.522  0.00
Mo  0.500  0.500  0.000  2.73
Li  0.163  0.837  0.750  0.00
O  0.765  0.737  0.250  0.01
O  0.263  0.235  0.250  0.01
O  0.261  0.739  0.022  0.00
O  0.739  0.261  0.978  0.00
O  0.737  0.765  0.750  0.01
O  0.235  0.263  0.750  0.01
Mo  0.500  0.500  0.500  2.73



An optimized crystal structure of Li2TiMoO4, computed with GGA+U.

DFT total energy, eV per atom: -6.9907

abc: 4.234 4.234 5.298
angles: 113.55 113.55 90.00
Site moments in Bohr magnetons follow the coordinates.
Atoms (fractional coordinates):
Li  0.250  0.750  0.500  0.00
O  0.750  0.750  0.501  0.04
Ti  0.750  0.250  0.500  -0.73
Mo  0.500  0.500  0.000  2.51
Li  0.000  0.000  0.000  0.00
O  0.512  0.012  0.025  0.06
O  0.250  0.250  0.499  0.04
O  0.988  0.488  0.975  0.06



An optimized crystal structure of LiTl2Mo2O7, computed with GGA+U.

DFT total energy, eV per atom: -6.0290

abc: 3.939 3.939 12.007
angles: 80.79 80.79 90.00
Atoms (fractional coordinates):
O  0.661  0.661  0.671
O  0.919  0.418  0.161
O  0.081  0.582  0.839
O  0.339  0.339  0.329
O  0.418  0.919  0.161
O  0.582  0.081  0.839
O  0.500  0.500  0.000
Tl  0.814  0.814  0.373
Mo  0.586  0.586  0.830
Mo  0.414  0.414  0.170
Tl  0.186  0.186  0.627
Li  0.000  0.000  0.000



An optimized crystal structure of LiTl3Mo2O8, computed with GGA+U.

DFT total energy, eV per atom: -5.9807
Relative energy among the computed polymorphs, eV/atom: 0.000

abc: 6.125 6.125 16.254
angles: 90.00 90.00 120.00
Atoms (fractional coordinates):
O  0.506  0.494  0.941
O  0.667  0.333  0.793
Li  0.667  0.333  0.396
Tl  0.333  0.667  0.093
Tl  0.000  0.000  0.501
Mo  0.333  0.667  0.670
O  0.172  0.828  0.634
O  0.333  0.667  0.293
Tl  0.000  0.000  0.253
O  0.494  0.988  0.441
O  0.494  0.506  0.441
O  0.172  0.343  0.634
O  0.343  0.172  0.134
O  0.828  0.657  0.134
Mo  0.667  0.333  0.902
Mo  0.667  0.333  0.170
Tl  0.000  0.000  0.753
O  0.828  0.172  0.134
O  0.667  0.333  0.279
O  0.012  0.506  0.441
Li  0.333  0.667  0.896
Tl  0.667  0.333  0.593
Mo  0.333  0.667  0.402
O  0.988  0.494  0.941
O  0.657  0.828  0.634
Tl  0.000  0.000  0.001
O  0.333  0.667  0.779
O  0.506  0.012  0.941



An optimized crystal structure of LiTl2MoO4, computed with GGA+U.

DFT total energy, eV per atom: -5.4403

abc: 5.317 6.480 11.534
angles: 84.57 76.67 65.78
Atoms (fractional coordinates):
O  0.505  0.337  0.589
Mo  0.500  0.000  0.000
Tl  0.857  0.000  0.286
O  0.158  0.337  0.411
Li  0.000  0.000  0.000
Tl  0.143  0.000  0.714
Tl  0.607  0.500  0.786
O  0.906  0.663  0.589
Tl  0.893  0.500  0.214
O  0.245  0.163  0.911
O  0.592  0.163  0.089
O  0.319  0.837  0.089
O  0.431  0.663  0.411
O  0.844  0.837  0.911
Li  0.750  0.500  0.500
Mo  0.250  0.500  0.500



An optimized crystal structure of LiTlMoO4, computed with GGA+U.

DFT total energy, eV per atom: -6.0772

abc: 5.471 5.912 8.926
angles: 90.00 113.87 90.00
Atoms (fractional coordinates):
O  0.498  0.750  0.291
Mo  0.843  0.250  0.733
O  0.056  0.250  0.947
Li  0.157  0.250  0.520
O  0.078  0.505  0.361
Mo  0.157  0.750  0.267
O  0.922  0.495  0.639
O  0.944  0.750  0.053
O  0.922  0.005  0.639
Li  0.843  0.750  0.480
Tl  0.729  0.250  0.112
O  0.502  0.250  0.709
Tl  0.271  0.750  0.888
O  0.078  0.995  0.361



An optimized crystal structure of LiTl3Mo2O8, computed with GGA+U.

DFT total energy, eV per atom: -5.9419
Relative energy among the computed polymorphs, eV/atom: 0.039

abc: 6.114 6.114 7.793
angles: 90.00 90.00 120.00
Atoms (fractional coordinates):
Tl  0.000  0.000  0.000
O  0.345  0.172  0.690
Mo  0.667  0.333  0.768
Mo  0.333  0.667  0.232
O  0.667  0.333  0.997
Tl  0.667  0.333  0.328
O  0.172  0.828  0.310
O  0.655  0.828  0.310
O  0.333  0.667  0.003
O  0.828  0.655  0.690
Tl  0.333  0.667  0.672
O  0.172  0.345  0.310
O  0.828  0.172  0.690
Li  0.000  0.000  0.500



An optimized crystal structure of Li2TlMoO4, computed with GGA+U.

DFT total energy, eV per atom: -5.7039

abc: 5.488 5.488 5.488
angles: 90.16 119.91 119.91
Site moments in Bohr magnetons follow the coordinates.
Atoms (fractional coordinates):
Tl  0.000  0.000  0.000  0.00
O  0.000  0.160  0.536  0.01
O  0.624  0.464  0.464  0.01
Li  0.500  0.250  0.750  0.01
O  0.376  0.840  0.840  0.01
Mo  0.000  0.500  0.500  0.91
O  0.000  0.536  0.160  0.01
Li  0.500  0.750  0.250  0.01



An optimized crystal structure of LiTlMoO2, computed with GGA+U.

DFT total energy, eV per atom: -4.0025

abc: 4.151 4.416 4.151
angles: 90.00 90.00 90.00
Site moments in Bohr magnetons follow the coordinates.
Atoms (fractional coordinates):
Mo  0.500  0.500  0.500  3.84
O  0.000  0.000  0.500  -0.25
Tl  0.000  0.500  0.000  0.10
O  0.500  0.000  0.000  -0.26
Li  0.000  0.000  0.000  0.00



An optimized crystal structure of LiTm2MoO6, computed with GGA+U.

DFT total energy, eV per atom: -7.4855

abc: 5.505 5.510 5.882
angles: 62.87 62.15 59.55
Site moments in Bohr magnetons follow the coordinates.
Atoms (fractional coordinates):
Li  0.776  0.785  0.658  0.00
Tm  0.025  0.027  0.937  0.00
Mo  0.321  0.323  0.034  0.93
O  0.688  0.129  0.767  -0.01
O  0.588  0.224  0.231  0.03
O  0.126  0.420  0.753  0.01
O  0.234  0.955  0.228  0.03
O  0.423  0.693  0.763  0.01
Tm  0.516  0.528  0.427  0.02
O  0.964  0.577  0.218  -0.03